Record 1
DFT (PBEsol) results for Si2OsRu after structural relaxation.

Results
formation energy without anion corrections: -0.567 eV/atom
uncorrected energy: -0.664 Ry per atom

Lattice parameters (Å, degrees): 2.9221 2.9221 5.8416 90.00 90.00 90.00
Last column: nearest neighbours and their distance in Å.
Space group P4/mmm (No. 123)
Unique sites:
Si  0.0000  0.0000  0.2487 x2  4 Ru 2.53, 4 Os 2.53
Os  0.5000  0.5000  0.5000 x1  8 Si 2.53
Ru  0.5000  0.5000  0.0000 x1  8 Si 2.53

Record 2
DFT (PBEsol) results for Si2OsRu after structural relaxation.

Results
formation energy without anion corrections: -0.085 eV/atom
uncorrected energy: -0.629 Ry per atom

Lattice parameters (Å, degrees): 2.8934 4.8610 7.6689 90.00 90.00 90.00
Last column: nearest neighbours and their distance in Å.
Space group Cmmm (No. 65)
Unique sites:
Si  0.0000  0.0000  0.2468 x4  2 Ru 2.38, 2 Os 2.42
Os  0.0000  0.5000  0.5000 x2  4 Si 2.42
Ru  0.0000  0.5000  0.0000 x2  4 Si 2.38

Record 3
DFT (PBEsol) results for Si2OsRu after structural relaxation.

Results
formation energy without anion corrections: -0.409 eV/atom
uncorrected energy: -0.653 Ry per atom

Lattice parameters (Å, degrees): 3.0716 3.0716 5.5650 90.00 90.00 90.00
Last column: nearest neighbours and their distance in Å.
Space group P4mm (No. 99)
Unique sites:
Si  0.0000  0.0000  0.0000 x1  4 Ru 2.40, 1 Os 2.49, 4 Si 2.61
Si  0.5000  0.5000  0.2608 x1  4 Os 2.41, 1 Ru 2.46, 4 Si 2.61
Os  0.0000  0.0000  0.4468 x1  5 Si 2.41-2.49
Ru  0.5000  0.5000  0.8180 x1  5 Si 2.40-2.46

Record 4
DFT (PBEsol) results for SiOsRu2 after structural relaxation.

Results
formation energy without anion corrections: -0.080 eV/atom
uncorrected energy: -0.710 Ry per atom

Lattice parameters (Å, degrees): 2.7238 2.7238 24.6769 90.00 90.00 120.00
Last column: nearest neighbours and their distance in Å.
Space group R3m (No. 160, hexagonal axes)
Unique sites:
Si  0.0000  0.0000  0.0000 x3  3 Ru 2.48, 3 Os 2.54, 6 Si 2.72
Os  0.0000  0.0000  0.2527 x3  3 Si 2.54, 3 Ru 2.67, 6 Os 2.72
Ru  0.0000  0.0000  0.4986 x3  3 Os 2.67, 9 Ru 2.68-2.72
Ru  0.0000  0.0000  0.7442 x3  3 Si 2.48, 9 Ru 2.68-2.72